(1)
Computed, not measured: an optimized crystal structure of YW at the GGA-PBE level of DFT.

Summary:
Space-group type: P-6m2 (187)
ρ, g cm⁻³: 10.75
DOS at the Fermi energy, states/eV per atom: 0.797

Cell lengths 3.036, 3.036, 5.279 Å; angles 90.00, 90.00, 120.00 degrees
Atoms (fractional coordinates):
W1 0.000 0.000 0.000
Y1 0.333 0.667 0.500



(2)
Computed, not measured: an optimized crystal structure of YW at the GGA-PBE level of DFT.

Summary:
Space-group type: P4/nmm (129)
ρ, g cm⁻³: 9.73
DOS at the Fermi energy, states/eV per atom: 0.991

Cell lengths 3.308, 3.308, 8.508 Å; angles 90.00, 90.00, 90.00 degrees
Atoms (fractional coordinates):
W1 0.250 0.250 0.077
W2 0.750 0.750 0.923
Y1 0.250 0.250 0.683
Y2 0.750 0.750 0.317



(3)
Computed, not measured: an optimized crystal structure of YW at the GGA-PBE level of DFT.

Summary:
Space-group type: Pmma (51)
ρ, g cm⁻³: 9.74
DOS at the Fermi energy, states/eV per atom: 0.849

Cell lengths 3.253, 4.412, 6.482 Å; angles 90.00, 90.00, 90.00 degrees
Atoms (fractional coordinates):
W1 0.000 0.000 0.066
W2 0.000 0.500 0.267
Y1 0.500 0.000 0.484
Y2 0.500 0.500 0.849



Result of the stability comparison: (1) is the least stable of them.



(1)
Computed, not measured: an optimized crystal structure of Li3SeF at the GGA-PBE level of DFT.

Summary:
Space-group type: Pnma (62)
ρ, g cm⁻³: 2.73
DOS at the Fermi energy, states/eV per atom: 0.000

Cell lengths 3.682, 10.036, 7.827 Å; angles 90.00, 90.00, 90.00 degrees
Atoms (fractional coordinates):
Li1 0.250 0.614 0.047
Li2 0.750 0.386 0.953
Li3 0.250 0.114 0.453
Li4 0.750 0.886 0.547
Li5 0.250 0.439 0.630
Li6 0.750 0.061 0.130
Li7 0.250 0.939 0.870
Li8 0.750 0.652 0.742
Li9 0.250 0.348 0.258
Li10 0.750 0.152 0.758
Li11 0.750 0.561 0.370
Li12 0.250 0.848 0.242
Se1 0.750 0.808 0.004
Se2 0.250 0.692 0.504
Se3 0.750 0.308 0.496
Se4 0.250 0.192 0.996
F1 0.250 0.006 0.648
F2 0.250 0.506 0.852
F3 0.750 0.494 0.148
F4 0.750 0.994 0.352



(2)
Computed, not measured: an optimized crystal structure of Li3SeF at the GGA-PBE level of DFT.

Summary:
Space-group type: Pm-3m (221)
ρ, g cm⁻³: 1.89
DOS at the Fermi energy, states/eV per atom: 0.000

Cell lengths 4.711, 4.711, 4.711 Å; angles 90.00, 90.00, 90.00 degrees
Atoms (fractional coordinates):
Li1 0.000 0.500 0.000
Li2 0.000 0.000 0.500
Li3 0.500 0.000 0.000
Se1 0.000 0.000 0.000
F1 0.500 0.500 0.500



Result of the stability comparison: (2) is the least stable of them.



(1)
Computed, not measured: an optimized crystal structure of ThSc2Tc at the GGA-PBE level of DFT.

Summary:
Space-group type: P4/mmm (123)
ρ, g cm⁻³: 7.57
DOS at the Fermi energy, states/eV per atom: 1.721

Cell lengths 3.307, 3.307, 8.421 Å; angles 90.00, 90.00, 90.00 degrees
Atoms (fractional coordinates):
Sc1 0.000 0.000 0.818
Sc2 0.000 0.000 0.182
Tc1 0.500 0.500 0.000
Th1 0.500 0.500 0.500



(2)
Computed, not measured: an optimized crystal structure of ThSc2Tc at the GGA-PBE level of DFT.

Summary:
Space-group type: R-3m (166)
ρ, g cm⁻³: 7.51
DOS at the Fermi energy, states/eV per atom: 1.014

Cell lengths 3.308, 3.308, 9.985 Å; angles 80.47, 80.47, 60.00 degrees
Atoms (fractional coordinates):
Sc1 0.731 0.731 0.806
Sc2 0.269 0.269 0.194
Tc1 0.000 0.000 0.000
Th1 0.500 0.500 0.500



Result of the stability comparison: (2) is the least stable of them.



(1)
Computed, not measured: an optimized crystal structure of YCoCu2 at the GGA-PBE level of DFT.

Summary:
Space-group type: R-3m (166)
ρ, g cm⁻³: 6.93
DOS at the Fermi energy, states/eV per atom: 1.200

Cell lengths 8.712, 8.712, 8.712 Å; angles 19.72, 19.72, 19.72 degrees
Site moments in Bohr magnetons follow the coordinates.
Atoms (fractional coordinates):
Co1 0.750 0.750 0.750  1.83
Cu1 0.012 0.012 0.012  0.04
Cu2 0.488 0.488 0.488  0.04
Y1 0.250 0.250 0.250  0.00



(2)
Computed, not measured: an optimized crystal structure of YCoCu2 at the GGA-PBE level of DFT.

Summary:
Space-group type: P4/mmm (123)
ρ, g cm⁻³: 7.41
DOS at the Fermi energy, states/eV per atom: 0.409

Cell lengths 3.836, 3.836, 4.184 Å; angles 90.00, 90.00, 90.05 degrees
Atoms (fractional coordinates):
Co1 0.000 0.500 0.500
Cu1 0.000 0.000 0.000
Cu2 0.500 0.500 0.000
Y1 0.500 0.000 0.500



Result of the stability comparison: (1) is the least stable of them.